(1)
The following is a PBE-GGA calculation of a geometry-optimized Sm8Dy2Tm structure, from the Alexandria database.

## Properties
The value obtained for the energy above the most stable polymorph in this dataset is 0 meV per atom. The density of states at the Fermi level comes out at 18.17 states/eV per cell. The symmetry is No. 12. For the formation energy, the calculation gives 0.12 eV/atom. The total moment comes out at 0.00 Bohr magnetons per cell.

Cell and atoms, written as CIF:
```
data_Sm8Dy2Tm
_symmetry_space_group_name_H-M 'P 1'
_symmetry_Int_Tables_number 1
_cell_length_a 9.2727
_cell_length_b 10.0874
_cell_length_c 10.0874
_cell_angle_alpha 43.14
_cell_angle_beta 40.16
_cell_angle_gamma 40.16
loop_
_symmetry_equiv_pos_as_xyz
'x,y,z'
loop_
_atom_site_label
_atom_site_type_symbol
_atom_site_fract_x
_atom_site_fract_y
_atom_site_fract_z
_atom_site_occupancy
Sm1 Sm 0.1380 0.7874 0.3496 1
Sm2 Sm 0.2735 0.6755 0.6755 1
Sm3 Sm 0.3805 0.3106 0.3106 1
Sm4 Sm 0.8620 0.6504 0.2126 1
Sm5 Sm 0.8620 0.2126 0.6504 1
Sm6 Sm 0.6195 0.6894 0.6894 1
Sm7 Sm 0.1380 0.3496 0.7874 1
Sm8 Sm 0.7265 0.3245 0.3245 1
Tm1 Tm 0.0000 0.0000 0.0000 1
Dy1 Dy 0.3424 0.1422 0.1422 1
Dy2 Dy 0.6576 0.8578 0.8578 1
```

(2)
The following is a PBE-GGA calculation of a geometry-optimized SmPuS3 structure, from the Alexandria database.

## Properties
The value obtained for the energy above the most stable polymorph in this dataset is 46 meV per atom. For the formation energy without anion corrections, the calculation gives -1.82 eV per atom. The density of states at the Fermi level comes out at 14.18 states/eV per cell. The symmetry is No. 59. The total moment comes out at 10.00 Bohr magnetons per cell.

Cell and atoms, written as CIF:
```
data_SmPuS3
_symmetry_space_group_name_H-M 'P 1'
_symmetry_Int_Tables_number 1
_cell_length_a 3.9659
_cell_length_b 6.6095
_cell_length_c 8.7205
_cell_angle_alpha 90.00
_cell_angle_beta 90.00
_cell_angle_gamma 90.00
loop_
_symmetry_equiv_pos_as_xyz
'x,y,z'
loop_
_atom_site_label
_atom_site_type_symbol
_atom_site_fract_x
_atom_site_fract_y
_atom_site_fract_z
_atom_site_occupancy
S1 S 0.0000 0.0000 0.9315 1
S2 S 0.0000 0.7709 0.3291 1
S3 S 0.5000 0.5000 0.0685 1
S4 S 0.0000 0.2291 0.3291 1
S5 S 0.5000 0.2709 0.6709 1
S6 S 0.5000 0.7291 0.6709 1
Sm1 Sm 0.0000 0.5000 0.8519 1
Sm2 Sm 0.5000 0.0000 0.1481 1
Pu1 Pu 0.5000 0.5000 0.3989 1
Pu2 Pu 0.0000 0.0000 0.6011 1
```

(3)
The following is a PBE-GGA calculation of a geometry-optimized RbLaTlO3 structure, from the Alexandria database.

## Properties
For the formation energy without anion corrections, the calculation gives -1.89 eV per atom. The density of states at the Fermi level comes out at 1.58 states/eV per cell. The symmetry is No. 11. The total moment comes out at 0.00 Bohr magnetons per cell.

Cell and atoms, written as CIF:
```
data_RbLaTlO3
_symmetry_space_group_name_H-M 'P 1'
_symmetry_Int_Tables_number 1
_cell_length_a 3.6838
_cell_length_b 7.1134
_cell_length_c 11.1846
_cell_angle_alpha 106.31
_cell_angle_beta 90.00
_cell_angle_gamma 90.00
loop_
_symmetry_equiv_pos_as_xyz
'x,y,z'
loop_
_atom_site_label
_atom_site_type_symbol
_atom_site_fract_x
_atom_site_fract_y
_atom_site_fract_z
_atom_site_occupancy
O1 O 0.7500 0.3382 0.6465 1
O2 O 0.2500 0.6618 0.3535 1
O3 O 0.7500 0.9077 0.2101 1
O4 O 0.2500 0.5545 0.9068 1
O5 O 0.2500 0.0923 0.7899 1
O6 O 0.7500 0.4455 0.0932 1
Rb1 Rb 0.7500 0.7492 0.7540 1
Rb2 Rb 0.2500 0.2508 0.2460 1
La1 La 0.2500 0.6757 0.1258 1
La2 La 0.7500 0.3243 0.8742 1
Tl1 Tl 0.2500 0.1485 0.5986 1
Tl2 Tl 0.7500 0.8515 0.4014 1
```

(4)
The following is a PBE-GGA calculation of a geometry-optimized HfFe3Br structure, from the Alexandria database.

## Properties
The value obtained for the energy above the most stable polymorph in this dataset is 0 meV per atom. For the formation energy without anion corrections, the calculation gives 0.95 eV per atom. The density of states at the Fermi level comes out at 3.60 states/eV per cell. The symmetry is No. 221. The total moment comes out at 3.97 Bohr magnetons per cell.

Cell and atoms, written as CIF:
```
data_HfFe3Br
_symmetry_space_group_name_H-M 'P 1'
_symmetry_Int_Tables_number 1
_cell_length_a 4.3220
_cell_length_b 4.3220
_cell_length_c 4.3220
_cell_angle_alpha 90.00
_cell_angle_beta 90.00
_cell_angle_gamma 90.00
loop_
_symmetry_equiv_pos_as_xyz
'x,y,z'
loop_
_atom_site_label
_atom_site_type_symbol
_atom_site_fract_x
_atom_site_fract_y
_atom_site_fract_z
_atom_site_occupancy
Br1 Br 0.0000 0.0000 0.0000 1
Hf1 Hf 0.5000 0.5000 0.5000 1
Fe1 Fe 0.5000 0.0000 0.0000 1
Fe2 Fe 0.0000 0.5000 0.0000 1
Fe3 Fe 0.0000 0.0000 0.5000 1
```

(5)
The following is a PBE-GGA calculation of a geometry-optimized HoErAs2 structure, from the Alexandria database.

## Properties
The value obtained for the energy above the most stable polymorph in this dataset is 2 meV per atom. The density of states at the Fermi level comes out at 0.51 states/eV per cell. The symmetry is No. 166. For the formation energy, the calculation gives -1.52 eV/atom. The total moment comes out at 0.00 Bohr magnetons per cell.

Cell and atoms, written as CIF:
```
data_HoErAs2
_symmetry_space_group_name_H-M 'P 1'
_symmetry_Int_Tables_number 1
_cell_length_a 4.0926
_cell_length_b 4.0926
_cell_length_c 7.0830
_cell_angle_alpha 89.97
_cell_angle_beta 106.81
_cell_angle_gamma 120.02
loop_
_symmetry_equiv_pos_as_xyz
'x,y,z'
loop_
_atom_site_label
_atom_site_type_symbol
_atom_site_fract_x
_atom_site_fract_y
_atom_site_fract_z
_atom_site_occupancy
Er1 Er 0.0001 0.0000 0.0000 1
As1 As 0.4993 0.7496 0.2489 1
As2 As 0.5007 0.2504 0.7511 1
Ho1 Ho 0.9999 0.5001 0.5000 1
```

(6)
The following is a PBE-GGA calculation of a geometry-optimized NaY2Ir2 structure, from the Alexandria database.

## Properties
The value obtained for the energy above the most stable polymorph in this dataset is 0 meV per atom. The density of states at the Fermi level comes out at 4.15 states/eV per cell. The symmetry is No. 127. For the formation energy, the calculation gives -0.46 eV/atom. The total moment comes out at 0.00 Bohr magnetons per cell.

Cell and atoms, written as CIF:
```
data_NaY2Ir2
_symmetry_space_group_name_H-M 'P 1'
_symmetry_Int_Tables_number 1
_cell_length_a 8.1315
_cell_length_b 8.1315
_cell_length_c 3.3600
_cell_angle_alpha 90.00
_cell_angle_beta 90.00
_cell_angle_gamma 90.00
loop_
_symmetry_equiv_pos_as_xyz
'x,y,z'
loop_
_atom_site_label
_atom_site_type_symbol
_atom_site_fract_x
_atom_site_fract_y
_atom_site_fract_z
_atom_site_occupancy
Na1 Na 0.5000 0.5000 0.0000 1
Na2 Na 0.0000 0.0000 0.0000 1
Ir1 Ir 0.1413 0.3587 0.0000 1
Ir2 Ir 0.6413 0.1413 0.0000 1
Ir3 Ir 0.3587 0.8587 0.0000 1
Ir4 Ir 0.8587 0.6413 0.0000 1
Y1 Y 0.8484 0.3484 0.5000 1
Y2 Y 0.6516 0.8484 0.5000 1
Y3 Y 0.3484 0.1516 0.5000 1
Y4 Y 0.1516 0.6516 0.5000 1
```